# 1
This record from OQMD describes crystalline PrHo2Mg4In2 at its relaxed geometry. The functional is PBE-GGA.

```
9
Lattice="-3.287 0.635 -3.322 1.959 -6.670 -3.213 -5.405 0.347 5.414" Properties=species:S:1:pos:R:3 pbc="T T T"
Ho 1.092 -3.785 -1.803
Ho -3.061 0.171 3.061
Mg -3.413 -6.263 2.180
Mg -6.573 -0.951 2.973
Mg -0.993 -6.266 -3.562
Mg -4.246 -4.459 0.001
In -4.634 -1.677 0.917
In -2.127 -4.065 -2.020
Pr -1.490 -2.733 0.951
```

# 2
This record from OQMD describes crystalline Pr2HoMg4In2 at its relaxed geometry. The functional is PBE-GGA.

```
9
Lattice="-0.734 3.231 -3.434 -5.699 -4.271 -2.800 -1.586 5.280 5.307" Properties=species:S:1:pos:R:3 pbc="T T T"
Pr -0.707 2.267 2.284
Pr -2.469 -1.827 -1.191
Mg -1.566 5.607 2.295
Mg -4.675 -1.614 -3.834
Mg -7.217 0.999 2.483
Mg -2.124 1.859 -1.113
In -4.709 0.570 -1.773
In -3.370 3.678 0.866
Ho -4.137 0.573 1.424
```

# 3
This record from OQMD describes crystalline Pr2HoMg3ZnIn2 at its relaxed geometry. The functional is PBE-GGA.

```
9
Lattice="4.688 0.000 0.000 0.000 6.506 3.832 0.000 -6.506 3.832" Properties=species:S:1:pos:R:3 pbc="T T T"
In 2.344 -2.111 3.855
In 2.344 2.111 3.855
Mg 2.344 -1.533 6.757
Mg 2.344 1.533 6.757
Mg 2.344 0.000 1.790
Pr 0.000 2.668 1.592
Pr 0.000 -2.668 1.592
Ho 0.000 0.000 4.540
Zn 0.000 0.000 7.587
```

# 4
This record from OQMD describes crystalline PrHo2Mg3ZnIn2 at its relaxed geometry. The functional is PBE-GGA.

```
9
Lattice="4.625 0.000 0.000 0.000 6.592 3.709 0.000 -6.592 3.709" Properties=species:S:1:pos:R:3 pbc="T T T"
Ho 0.000 3.868 2.200
Ho 0.000 -3.868 2.200
In 2.312 2.248 3.734
In 2.312 -2.248 3.734
Mg 2.312 5.041 4.576
Mg 2.312 0.000 5.660
Mg 2.312 -5.041 4.576
Pr 0.000 0.000 3.077
Zn 0.000 0.000 7.339
```

# 5
This record from OQMD describes crystalline Tb2HoMg3In3 at its relaxed geometry. The functional is PBE-GGA.

```
9
Lattice="4.677 0.000 0.000 0.000 6.496 3.765 0.000 -6.496 3.765" Properties=species:S:1:pos:R:3 pbc="T T T"
In 0.000 0.000 7.518
In 2.339 -2.156 3.767
In 2.339 2.156 3.767
Ho 0.000 0.000 4.258
Tb 0.000 -2.825 1.640
Tb 0.000 2.825 1.640
Mg 2.339 0.000 1.817
Mg 2.339 -4.927 2.855
Mg 2.339 4.927 2.855
```

# 6
This record from OQMD describes crystalline TbHo2Mg3Tl2In at its relaxed geometry. The functional is PBE-GGA.

```
9
Lattice="4.666 0.000 0.000 0.000 6.512 3.752 0.000 -6.512 3.752" Properties=species:S:1:pos:R:3 pbc="T T T"
Ho 0.000 -3.686 2.124
Ho 0.000 3.686 2.124
Mg 2.333 -1.572 0.906
Mg 2.333 1.572 0.906
Mg 2.333 0.000 5.694
In 0.000 0.000 7.501
Tl 2.333 -2.175 3.753
Tl 2.333 2.175 3.753
Tb 0.000 0.000 3.258
```

# 7
This record from OQMD describes crystalline HoMgInTe3 at its relaxed geometry. The functional is PBE-GGA.

```
12
Lattice="2.224 -7.622 0.000 2.224 7.622 0.000 0.000 0.000 11.690" Properties=species:S:1:pos:R:3 pbc="T T T"
Te 2.224 2.078 6.457
Te 2.224 6.454 8.767
Te 2.224 -6.454 2.922
Te 2.224 -2.078 5.233
Te 2.224 -2.078 0.612
Te 2.224 2.078 11.078
Ho 0.000 0.000 5.845
Ho 0.000 0.000 0.000
Mg 2.224 0.567 8.767
Mg 2.224 -0.567 2.922
In 2.224 3.899 2.922
In 2.224 -3.899 8.767
```

# 8
This record from OQMD describes crystalline Ho3Mg3Tl2In at its relaxed geometry. The functional is PBE-GGA.

```
9
Lattice="7.494 0.000 0.000 -3.747 6.490 0.000 0.000 0.000 4.658" Properties=species:S:1:pos:R:3 pbc="T T T"
In 0.000 0.000 0.000
Ho 1.626 2.817 0.000
Ho 4.241 0.000 0.000
Ho -2.121 3.673 0.000
Mg -0.904 1.566 2.329
Mg 1.808 0.000 2.329
Mg 2.843 4.924 2.329
Tl 0.000 4.327 2.329
Tl 3.747 2.163 2.329
```

# 9
This record from OQMD describes crystalline Ho3Mg3TlIn2 at its relaxed geometry. The functional is PBE-GGA.

```
9
Lattice="-3.057 0.822 -6.792 -0.988 -6.379 3.807 -3.845 1.755 1.943" Properties=species:S:1:pos:R:3 pbc="T T T"
Mg -2.664 1.077 -0.676
Mg -4.986 -3.332 -1.290
Mg -2.162 -0.670 1.895
In -3.600 -3.101 1.245
In -4.290 -0.701 -2.288
Tl 0.000 0.000 0.000
Ho -0.559 -3.610 2.154
Ho -1.756 -2.412 -1.296
Ho -1.730 0.465 -3.844
```

# 10
This record from OQMD describes crystalline Ho2TmMg3In3 at its relaxed geometry. The functional is PBE-GGA.

```
9
Lattice="-2.186 -2.154 -3.499 -2.177 -5.389 4.678 -4.311 6.006 -1.003" Properties=species:S:1:pos:R:3 pbc="T T T"
Tm -3.663 0.348 2.075
Ho -1.882 2.619 -0.436
Ho -0.951 -2.349 2.041
Mg -2.659 -0.928 -0.862
Mg -4.363 3.478 -2.510
Mg -2.744 -5.164 1.799
In -6.478 0.616 3.669
In -4.694 1.123 -0.853
In -3.986 -2.659 1.032
```

# 11
This record from OQMD describes crystalline HoTmMgIn at its relaxed geometry. The functional is PBE-GGA.

```
4
Lattice="0.000 3.722 3.722 3.722 0.000 3.722 3.722 3.722 0.000" Properties=species:S:1:pos:R:3 pbc="T T T"
In 0.000 0.000 0.000
Ho 5.583 5.583 5.583
Mg 3.722 3.722 3.722
Tm 1.861 1.861 1.861
```

# 12
This record from OQMD describes crystalline Ho2TmMg3ZnIn2 at its relaxed geometry. The functional is PBE-GGA.

```
9
Lattice="-0.152 4.371 -1.213 -6.662 0.666 3.234 6.162 1.311 3.950" Properties=species:S:1:pos:R:3 pbc="T T T"
Mg -5.165 2.694 1.864
Mg -0.194 2.651 1.085
Mg 4.631 3.187 2.411
Ho -2.774 0.278 1.350
Ho 2.565 0.547 1.649
Zn -0.500 1.973 7.170
In 1.802 3.282 3.108
In -2.455 3.068 2.870
Tm -0.292 1.155 4.197
```

# 13
This record from OQMD describes crystalline Ho3Mg3ZnIn2 at its relaxed geometry. The functional is PBE-GGA.

```
9
Lattice="7.462 0.000 0.000 -3.731 6.462 0.000 0.000 0.000 4.550" Properties=species:S:1:pos:R:3 pbc="T T T"
Mg 2.850 4.937 2.275
Mg -0.881 1.526 2.275
Mg 1.762 0.000 2.275
In 0.000 4.308 2.275
In 3.731 2.154 2.275
Ho 4.358 0.000 0.000
Ho -2.179 3.774 0.000
Ho 1.552 2.688 0.000
Zn 0.000 0.000 0.000
```

# 14
This record from OQMD describes crystalline Ho4TlInN2 at its relaxed geometry. The functional is PBE-GGA.

```
8
Lattice="-1.500 -2.274 -2.209 3.394 -0.329 0.818 -3.817 -9.243 12.107" Properties=species:S:1:pos:R:3 pbc="T T T"
N -2.864 -6.936 9.085
N -0.953 -2.308 3.022
Ho -0.502 -3.161 0.811
Ho -0.778 -7.131 7.870
Ho 0.487 -4.067 3.856
Ho -3.051 -9.333 8.896
Tl 1.763 -0.977 -0.191
In -1.777 -6.247 4.854
```

# 15
This record from OQMD describes crystalline HoTm3In2N2 at its relaxed geometry. The functional is PBE-GGA.

```
8
Lattice="-1.642 -2.449 -1.827 3.372 0.603 -0.546 3.648 -10.554 10.869" Properties=species:S:1:pos:R:3 pbc="T T T"
N 0.037 -1.455 -1.376
N 1.852 -6.705 4.030
Tm 3.218 -4.804 3.548
Tm 2.128 -6.156 6.340
Tm 2.008 -1.305 -0.056
In 0.914 -2.643 2.722
In 4.432 -8.315 7.164
Ho 3.340 -9.663 9.952
```

# 16
This record from OQMD describes crystalline Ho3TmIn2N2 at its relaxed geometry. The functional is PBE-GGA.

```
8
Lattice="-0.372 -2.857 1.967 -0.886 -0.077 -3.374 14.565 -4.460 -3.725" Properties=species:S:1:pos:R:3 pbc="T T T"
Ho 12.802 -6.017 -3.226
Ho 7.963 -4.535 -1.988
Ho 6.046 -1.851 -1.546
N 6.561 -3.232 -3.454
N -0.682 -1.014 -1.602
Tm 1.221 -0.374 -0.312
In 3.077 -3.039 -0.739
In 10.929 -3.347 -2.795
```

# 17
This record from OQMD describes crystalline HoTmInN at its relaxed geometry. The functional is PBE-GGA.

```
8
Lattice="-1.653 -2.316 -2.001 3.426 0.481 -0.363 2.690 -11.121 10.651" Properties=species:S:1:pos:R:3 pbc="T T T"
Tm 2.178 -2.291 0.853
Tm 3.978 -9.733 7.980
N 0.705 -4.134 1.179
N 2.064 -9.755 6.562
Ho 1.792 -7.412 7.098
Ho 0.897 -3.710 3.553
In 0.000 0.000 0.000
In 3.078 -6.012 4.416
```

# 18
This record from OQMD describes crystalline HoTmInN at its relaxed geometry. The functional is PBE-GGA.

```
8
Lattice="3.479 0.000 0.000 -1.739 3.012 0.000 0.000 0.000 15.633" Properties=species:S:1:pos:R:3 pbc="T T T"
N 0.000 0.000 0.000
N 0.000 0.000 7.816
Ho 0.000 2.008 1.325
Ho 1.739 1.004 14.307
In 0.000 2.008 11.696
In 1.739 1.004 3.937
Tm 0.000 2.008 6.514
Tm 1.739 1.004 9.119
```

# 19
This record from OQMD describes crystalline NaHoIn at its relaxed geometry. The functional is PBE-GGA.

```
3
Lattice="0.000 3.618 3.618 3.618 0.000 3.618 3.618 3.618 0.000" Properties=species:S:1:pos:R:3 pbc="T T T"
Ho 1.809 1.809 1.809
Na 5.426 5.426 5.426
In 0.000 0.000 0.000
```

# 20
This record from OQMD describes crystalline NaHoIn4Pd2 at its relaxed geometry. The functional is PBE-GGA.

```
8
Lattice="7.861 0.000 0.000 0.000 2.219 5.148 0.000 -2.219 5.148" Properties=species:S:1:pos:R:3 pbc="T T T"
Pd 3.930 0.000 2.202
Pd 0.000 0.000 8.046
In 1.581 0.000 3.691
In 6.279 0.000 3.691
In 2.396 0.000 6.621
In 5.464 0.000 6.621
Ho 0.000 0.000 0.712
Na 3.930 0.000 9.597
```

Short version: uncorrected energy = -0.11496 -0.11626 -0.11779 -0.11666 -0.12352 -0.11835 -0.14468 -0.11790 -0.12030 -0.12191 -0.13354 -0.11486 -0.11556 -0.22183 -0.22360 -0.22397 -0.22378 -0.22377 -0.10087 -0.14287 Ha/atom, in the order given.
Short version: total moment = 0.00 0.02 0.01 0.00 0.00 0.00 0.00 0.00 0.00 0.00 0.01 0.00 0.00 0.00 0.02 0.01 0.00 0.00 0.99 0.01 Bohr magnetons per cell, in the order given.